{
  "formula": "Li2LuIn",
  "functional": "GGA-PBE",
  "state": "optimized geometry",
  "cell": [[4.785, 0.000, 0.000], [2.393, 4.144, 0.000], [2.393, 1.381, 3.907]],
  "species": ["Lu", "In", "Li", "Li"],
  "frac_coords": [[0.000, 0.000, 0.000], [0.500, 0.500, 0.500], [0.250, 0.250, 0.250], [0.750, 0.750, 0.750]],
  "total_energy_ev_per_atom": -3.01,
  "dos_ef_per_ev_atom": 0.3455,
  "ef_ev_per_atom": -0.24,
  "space_group": "No. 225",
  "de_polymorph_ev_per_atom": 0.0000
}

{
  "formula": "Y5UBi6",
  "functional": "GGA-PBE",
  "state": "optimized geometry",
  "cell": [[7.641, -0.121, -1.440], [-4.130, 6.430, -1.440], [0.150, 0.269, 7.771]],
  "species": ["Y", "Y", "Y", "Y", "Y", "U", "Bi", "Bi", "Bi", "Bi", "Bi", "Bi"],
  "frac_coords": [[0.833, 0.167, 0.500], [0.667, 0.333, 0.000], [0.500, 0.500, 0.500], [0.333, 0.667, 0.000], [0.167, 0.833, 0.500], [0.000, 0.000, 0.000], [0.417, 0.084, 0.251], [0.916, 0.583, 0.749], [0.250, 0.250, 0.750], [0.750, 0.750, 0.250], [0.084, 0.417, 0.251], [0.583, 0.916, 0.749]],
  "total_energy_ev_per_atom": -6.29,
  "dos_ef_per_ev_atom": 0.8275,
  "ef_ev_per_atom": -0.71,
  "space_group": "No. 12"
}

{
  "formula": "FePtC3",
  "functional": "GGA-PBE",
  "state": "optimized geometry",
  "cell": [[-0.554, 3.178, 1.893], [-1.846, -1.897, 2.643], [3.206, -0.543, 1.849]],
  "species": ["C", "C", "C", "Fe", "Pt"],
  "frac_coords": [[0.000, 0.500, 0.000], [0.000, 0.000, 0.500], [0.500, 0.000, 0.000], [0.000, 0.000, 0.000], [0.500, 0.500, 0.500]],
  "total_energy_ev_per_atom": -6.46,
  "dos_ef_per_ev_atom": 0.3875,
  "ef_ev_per_atom": 1.98,
  "space_group": "No. 221",
  "de_polymorph_ev_per_atom": 0.0000
}